1.
VASP calculation (SCAN) on a PBEsol-optimized structure of Zr2SeBr.

Computed properties:
* D(E_F): 0.804 states/eV per atom
* uncorrected formation energy: -1.011 eV/atom
* total magnetization: 0.00 μB per formula unit

Cell and atoms, written as CIF:
```
data_Zr2SeBr
_symmetry_space_group_name_H-M 'P 4 m m'
_symmetry_Int_Tables_number 99
_cell_length_a 3.552
_cell_length_b 3.552
_cell_length_c 6.745
_cell_angle_alpha 90.00
_cell_angle_beta 90.00
_cell_angle_gamma 90.00
loop_
_symmetry_equiv_pos_as_xyz
'x,y,z'
'-y,x,z'
'-x,-y,z'
'y,-x,z'
'-x,y,z'
'y,x,z'
'x,-y,z'
'-y,-x,z'
loop_
_atom_site_label
_atom_site_fract_x
_atom_site_fract_y
_atom_site_fract_z
Zr1 0.000 0.000 0.000
Zr2 0.500 0.500 0.303
Se1 0.500 0.500 0.881
Br1 0.000 0.000 0.537
```



2.
VASP calculation (SCAN) on a PBEsol-optimized structure of ZrSeBr2.

Computed properties:
* D(E_F): 0.649 states/eV per atom
* uncorrected formation energy: 0.001 eV/atom
* total magnetization: 0.00 μB per formula unit

Cell and atoms, written as CIF:
```
data_ZrSeBr2
_symmetry_space_group_name_H-M 'C m m m'
_symmetry_Int_Tables_number 65
_symmetry_space_group_name_Hall '-C 2 2'
_cell_length_a 5.995
_cell_length_b 8.882
_cell_length_c 3.238
_cell_angle_alpha 90.00
_cell_angle_beta 90.00
_cell_angle_gamma 90.00
loop_
_atom_site_label
_atom_site_fract_x
_atom_site_fract_y
_atom_site_fract_z
Zr1 0.000 0.000 0.000
Se1 0.000 0.500 0.000
Br1 0.250 0.250 0.500
```



3.
VASP calculation (SCAN) on a PBEsol-optimized structure of Zr2SeBr.

Computed properties:
* D(E_F): 0.745 states/eV per atom
* uncorrected formation energy: -0.644 eV/atom
* total magnetization: 0.00 μB per formula unit

Cell and atoms, written as CIF:
```
data_Zr2SeBr
_symmetry_space_group_name_H-M 'P 1 2/m 1'
_symmetry_Int_Tables_number 10
_cell_length_a 3.410
_cell_length_b 4.327
_cell_length_c 5.878
_cell_angle_alpha 90.00
_cell_angle_beta 92.64
_cell_angle_gamma 90.00
loop_
_symmetry_equiv_pos_as_xyz
'x,y,z'
'-x,-y,-z'
'-x,y,-z'
'x,-y,z'
loop_
_atom_site_label
_atom_site_fract_x
_atom_site_fract_y
_atom_site_fract_z
Zr1 0.230 0.000 0.281
Se1 0.500 0.500 0.500
Br1 0.000 0.500 0.000
```



4.
VASP calculation (SCAN) on a PBEsol-optimized structure of ZrSe2Br.

Computed properties:
* D(E_F): 0.558 states/eV per atom
* uncorrected formation energy: -0.226 eV/atom
* total magnetization: 0.00 μB per formula unit

Cell and atoms, written as CIF:
```
data_ZrSe2Br
_symmetry_space_group_name_H-M 'P m m m'
_symmetry_Int_Tables_number 47
_cell_length_a 3.558
_cell_length_b 4.337
_cell_length_c 5.226
_cell_angle_alpha 90.00
_cell_angle_beta 90.00
_cell_angle_gamma 90.00
loop_
_symmetry_equiv_pos_as_xyz
'x,y,z'
'-x,-y,-z'
'-x,-y,z'
'x,y,-z'
'x,-y,-z'
'-x,y,z'
'-x,y,-z'
'x,-y,z'
loop_
_atom_site_label
_atom_site_fract_x
_atom_site_fract_y
_atom_site_fract_z
Zr1 0.000 0.000 0.000
Se1 0.000 0.500 0.500
Se2 0.500 0.000 0.500
Br1 0.500 0.500 0.000
```



5.
VASP calculation (SCAN) on a PBEsol-optimized structure of SiBr4.

Computed properties:
* D(E_F): 0.000 states/eV per atom
* uncorrected formation energy: -0.852 eV/atom
* total magnetization: 0.00 μB per formula unit

Cell and atoms, written as CIF:
```
data_SiBr4
_symmetry_space_group_name_H-M 'P a -3'
_symmetry_Int_Tables_number 205
_symmetry_space_group_name_Hall '-P 2ac 2ab 3'
_cell_length_a 11.200
_cell_length_b 11.200
_cell_length_c 11.200
_cell_angle_alpha 90.00
_cell_angle_beta 90.00
_cell_angle_gamma 90.00
loop_
_atom_site_label
_atom_site_fract_x
_atom_site_fract_y
_atom_site_fract_z
Si1 0.132 0.132 0.132
Br1 0.011 0.245 0.026
Br2 0.245 0.245 0.245
```



6.
VASP calculation (SCAN) on a PBEsol-optimized structure of Si2Br.

Computed properties:
* uncorrected formation energy: -0.310 eV/atom
* total magnetization: 0.00 μB per formula unit

Cell and atoms, written as CIF:
```
data_Si2Br
_symmetry_space_group_name_H-M 'C 1 2/m 1'
_symmetry_Int_Tables_number 12
_cell_length_a 6.714
_cell_length_b 3.876
_cell_length_c 11.350
_cell_angle_alpha 90.00
_cell_angle_beta 90.09
_cell_angle_gamma 90.00
loop_
_symmetry_equiv_pos_as_xyz
'x,y,z'
'-x,-y,-z'
'-x,y,-z'
'x,-y,z'
'x+1/2,y+1/2,z'
'-x+1/2,-y+1/2,-z'
'-x+1/2,y+1/2,-z'
'x+1/2,-y+1/2,z'
loop_
_atom_site_label
_atom_site_fract_x
_atom_site_fract_y
_atom_site_fract_z
Si1 0.000 0.000 0.104
Si2 0.167 0.500 0.170
Br1 0.167 0.500 0.367
```